# 1
Entry from Alexandria: an optimized crystal structure of Y8InIr2 (GGA-PBE).

Properties
VASP energy = -6.988 eV per atom
Crystal system = monoclinic
E_form = -4.691 eV per formula unit

Unit cell a=7.978 b=7.978 c=5.452 alpha=97.43 beta=97.43 gamma=112.89
Positions (direct):
Y1 0.000 0.000 0.000
Y2 0.057 0.318 0.624
Y3 0.139 0.634 0.199
Y4 0.318 0.057 0.624
Y5 0.454 0.715 0.775
Y6 0.634 0.139 0.199
Y7 0.715 0.454 0.775
Y8 0.771 0.771 0.398
In1 0.386 0.386 0.199
Ir1 0.075 0.696 0.699
Ir2 0.696 0.075 0.699

# 2
Entry from Alexandria: an optimized crystal structure of Y6InIr2 (GGA-PBE).

Properties
VASP energy = -7.192 eV per atom
Crystal system = orthorhombic
E_form = -5.479 eV per formula unit

Unit cell a=8.538 b=8.538 c=8.538 alpha=112.71 beta=111.15 gamma=104.66
Positions (direct):
Y1 0.035 0.239 0.796
Y2 0.183 0.285 0.468
Y3 0.183 0.715 0.898
Y4 0.330 0.021 0.691
Y5 0.330 0.638 0.309
Y6 0.443 0.239 0.204
Y7 0.557 0.761 0.796
Y8 0.670 0.362 0.691
Y9 0.670 0.979 0.309
Y10 0.817 0.285 0.102
Y11 0.817 0.715 0.532
Y12 0.965 0.761 0.204
In1 0.000 0.000 0.000
In2 0.500 0.500 0.000
Ir1 0.128 0.628 0.500
Ir2 0.333 0.000 0.333
Ir3 0.667 0.000 0.667
Ir4 0.872 0.372 0.500

# 3
Entry from Alexandria: an optimized crystal structure of Y6InIr (GGA-PBE).

Properties
VASP energy = -6.458 eV per atom
Crystal system = triclinic
E_form = -1.284 eV per formula unit

Unit cell a=6.924 b=6.934 c=7.514 alpha=90.11 beta=117.31 gamma=119.94
Positions (direct):
Y1 0.040 0.080 0.254
Y2 0.294 0.714 0.253
Y3 0.325 0.540 0.747
Y4 0.675 0.460 0.253
Y5 0.706 0.286 0.747
Y6 0.960 0.920 0.746
In1 0.500 0.000 0.000
Ir1 0.500 0.500 0.500

# 4
Entry from Alexandria: an optimized crystal structure of Y5In2Ir2 (GGA-PBE).

Properties
VASP energy = -6.772 eV per atom
Crystal system = orthorhombic
E_form = -5.427 eV per formula unit

Unit cell a=9.067 b=9.067 c=7.474 alpha=90.00 beta=90.00 gamma=50.00
Positions (direct):
Y1 0.000 0.000 0.000
Y2 0.059 0.705 0.671
Y3 0.205 0.559 0.171
Y4 0.295 0.941 0.671
Y5 0.441 0.795 0.171
Y6 0.500 0.500 0.500
Y7 0.559 0.205 0.829
Y8 0.705 0.059 0.329
Y9 0.795 0.441 0.829
Y10 0.941 0.295 0.329
In1 0.222 0.222 0.000
In2 0.278 0.278 0.500
In3 0.722 0.722 0.500
In4 0.778 0.778 0.000
Ir1 0.128 0.872 0.373
Ir2 0.372 0.628 0.873
Ir3 0.628 0.372 0.127
Ir4 0.872 0.128 0.627

# 5
Entry from Alexandria: an optimized crystal structure of Y2In8Ir (GGA-PBE).

Properties
VASP energy = -4.349 eV per atom
Crystal system = tetragonal
E_form = -4.141 eV per formula unit

Unit cell a=4.666 b=4.666 c=12.155 alpha=90.00 beta=90.00 gamma=90.00
Positions (direct):
Y1 0.000 0.000 0.192
Y2 0.000 0.000 0.808
In1 0.000 0.500 0.000
In2 0.000 0.500 0.377
In3 0.000 0.500 0.623
In4 0.500 0.000 0.000
In5 0.500 0.000 0.377
In6 0.500 0.000 0.623
In7 0.500 0.500 0.191
In8 0.500 0.500 0.809
Ir1 0.000 0.000 0.500

# 6
Entry from Alexandria: an optimized crystal structure of YIn3Ir (GGA-PBE).

Properties
VASP energy = -4.725 eV per atom
Crystal system = cubic
E_form = -0.085 eV per formula unit
Distance to the lowest polymorph of the same formula = 0.000 eV/atom

Unit cell a=5.121 b=5.121 c=5.121 alpha=90.00 beta=90.00 gamma=90.00
Positions (direct):
Y1 0.000 0.000 0.000
In1 0.000 0.500 0.500
In2 0.500 0.000 0.500
In3 0.500 0.500 0.000
Ir1 0.500 0.500 0.500

# 7
Entry from Alexandria: an optimized crystal structure of YInIr (GGA-PBE).

Properties
VASP energy = -6.491 eV per atom
Crystal system = tetragonal
E_form = -1.411 eV per formula unit

Unit cell a=6.293 b=6.293 c=6.293 alpha=149.46 beta=149.46 gamma=43.74
Positions (direct):
Y1 0.000 0.000 0.000
In1 0.290 0.290 0.000
Ir1 0.650 0.650 0.000

# 8
Entry from Alexandria: an optimized crystal structure of YIn3Ir (GGA-PBE).

Properties
VASP energy = -3.112 eV per atom
Crystal system = cubic
E_form = 7.982 eV per formula unit
Distance to the lowest polymorph of the same formula = 1.613 eV/atom

Unit cell a=5.642 b=5.642 c=5.642 alpha=90.00 beta=90.00 gamma=90.00
Positions (direct):
Y1 0.000 0.000 0.000
In1 0.000 0.000 0.500
In2 0.000 0.500 0.000
In3 0.500 0.000 0.000
Ir1 0.500 0.500 0.500

# 9
Entry from Alexandria: an optimized crystal structure of Y8In2Ir (GGA-PBE).

Properties
VASP energy = -6.369 eV per atom
Crystal system = monoclinic
E_form = -4.009 eV per formula unit

Unit cell a=9.878 b=9.878 c=6.707 alpha=106.03 beta=106.03 gamma=30.05
Positions (direct):
Y1 0.020 0.020 0.287
Y2 0.213 0.213 0.813
Y3 0.354 0.354 0.519
Y4 0.411 0.411 0.057
Y5 0.589 0.589 0.943
Y6 0.646 0.646 0.481
Y7 0.787 0.787 0.187
Y8 0.980 0.980 0.713
In1 0.181 0.181 0.244
In2 0.819 0.819 0.756
Ir1 0.500 0.500 0.500

# 10
Entry from Alexandria: an optimized crystal structure of Y8In2Ir3 (GGA-PBE).

Properties
VASP energy = -6.954 eV per atom
Crystal system = orthorhombic
E_form = -6.632 eV per formula unit

Unit cell a=8.819 b=8.819 c=4.951 alpha=90.00 beta=90.00 gamma=111.62
Positions (direct):
Y1 0.112 0.888 0.000
Y2 0.140 0.365 0.500
Y3 0.365 0.140 0.500
Y4 0.385 0.615 0.000
Y5 0.615 0.385 0.000
Y6 0.635 0.860 0.500
Y7 0.860 0.635 0.500
Y8 0.888 0.112 0.000
In1 0.245 0.755 0.500
In2 0.755 0.245 0.500
Ir1 0.248 0.248 0.000
Ir2 0.500 0.500 0.500
Ir3 0.752 0.752 0.000

# 11
Entry from Alexandria: an optimized crystal structure of Y4In2Ir (GGA-PBE).

Properties
VASP energy = -6.055 eV per atom
Crystal system = tetragonal
E_form = -2.188 eV per formula unit

Unit cell a=8.501 b=8.501 c=8.501 alpha=143.15 beta=143.15 gamma=53.10
Positions (direct):
Y1 0.000 0.500 0.500
Y2 0.178 0.178 0.000
Y3 0.500 0.000 0.500
Y4 0.822 0.822 0.000
In1 0.379 0.379 0.000
In2 0.621 0.621 0.000
Ir1 0.000 0.000 0.000

# 12
Entry from Alexandria: an optimized crystal structure of YIn12Ir6 (GGA-PBE).

Properties
VASP energy = -4.946 eV per atom
Crystal system = trigonal
E_form = -1.485 eV per formula unit

Unit cell a=7.857 b=7.857 c=7.857 alpha=106.17 beta=106.17 gamma=106.17
Positions (direct):
Y1 0.000 0.000 0.000
In1 0.119 0.500 0.881
In2 0.119 0.881 0.500
In3 0.144 0.404 0.404
In4 0.404 0.144 0.404
In5 0.404 0.404 0.144
In6 0.500 0.119 0.881
In7 0.500 0.881 0.119
In8 0.596 0.596 0.856
In9 0.596 0.856 0.596
In10 0.856 0.596 0.596
In11 0.881 0.119 0.500
In12 0.881 0.500 0.119
Ir1 0.273 0.273 0.695
Ir2 0.273 0.695 0.273
Ir3 0.305 0.727 0.727
Ir4 0.695 0.273 0.273
Ir5 0.727 0.305 0.727
Ir6 0.727 0.727 0.305

# 13
Entry from Alexandria: an optimized crystal structure of Y3InIr (GGA-PBE).

Properties
VASP energy = -6.775 eV per atom
Crystal system = triclinic
E_form = -2.885 eV per formula unit
Distance to the lowest polymorph of the same formula = 0.000 eV/atom

Unit cell a=5.554 b=6.212 c=8.760 alpha=99.89 beta=100.00 gamma=114.14
Positions (direct):
Y1 0.049 0.168 0.289
Y2 0.298 0.456 0.737
Y3 0.301 0.800 0.103
Y4 0.699 0.200 0.897
Y5 0.702 0.544 0.263
Y6 0.951 0.832 0.711
In1 0.334 0.748 0.474
In2 0.666 0.252 0.526
Ir1 0.240 0.239 0.999
Ir2 0.760 0.761 0.001

# 14
Entry from Alexandria: an optimized crystal structure of Y5In2Ir (GGA-PBE).

Properties
VASP energy = -6.366 eV per atom
Crystal system = orthorhombic
E_form = -4.270 eV per formula unit

Unit cell a=7.252 b=12.476 c=4.820 alpha=90.00 beta=90.00 gamma=90.00
Positions (direct):
Y1 0.000 0.000 0.000
Y2 0.129 0.291 0.000
Y3 0.178 0.580 0.500
Y4 0.322 0.080 0.500
Y5 0.371 0.791 0.000
Y6 0.500 0.500 0.000
Y7 0.629 0.209 0.000
Y8 0.678 0.920 0.500
Y9 0.822 0.420 0.500
Y10 0.871 0.709 0.000
In1 0.092 0.837 0.500
In2 0.408 0.337 0.500
In3 0.592 0.663 0.500
In4 0.908 0.163 0.500
Ir1 0.000 0.500 0.000
Ir2 0.500 0.000 0.000

# 15
Entry from Alexandria: an optimized crystal structure of YInIr (GGA-PBE).

Properties
VASP energy = -6.660 eV per atom
Crystal system = monoclinic
E_form = -1.918 eV per formula unit

Unit cell a=5.588 b=5.588 c=7.390 alpha=121.24 beta=121.24 gamma=44.58
Positions (direct):
Y1 0.074 0.074 0.335
Y2 0.926 0.926 0.665
In1 0.327 0.327 0.923
In2 0.673 0.673 0.077
Ir1 0.360 0.360 0.332
Ir2 0.640 0.640 0.668

# 16
Entry from Alexandria: an optimized crystal structure of YInIr (GGA-PBE).

Properties
VASP energy = -6.692 eV per atom
Crystal system = monoclinic
E_form = -2.014 eV per formula unit

Unit cell a=7.402 b=4.126 c=12.810 alpha=90.00 beta=91.29 gamma=90.00
Positions (direct):
Y1 0.041 0.250 0.120
Y2 0.154 0.250 0.419
Y3 0.449 0.750 0.784
Y4 0.551 0.250 0.216
Y5 0.846 0.750 0.581
Y6 0.959 0.750 0.880
In1 0.116 0.250 0.705
In2 0.358 0.750 0.044
In3 0.494 0.750 0.413
In4 0.506 0.250 0.587
In5 0.642 0.250 0.956
In6 0.884 0.750 0.295
Ir1 0.250 0.750 0.582
Ir2 0.251 0.250 0.913
Ir3 0.251 0.750 0.248
Ir4 0.749 0.250 0.752
Ir5 0.749 0.750 0.087
Ir6 0.750 0.250 0.418

# 17
Entry from Alexandria: an optimized crystal structure of Y6In2Ir (GGA-PBE).

Properties
VASP energy = -6.389 eV per atom
Crystal system = orthorhombic
E_form = -4.376 eV per formula unit

Unit cell a=3.895 b=8.626 c=8.626 alpha=119.75 beta=90.00 gamma=90.00
Positions (direct):
Y1 0.000 0.000 0.000
Y2 0.000 0.513 0.753
Y3 0.000 0.753 0.513
Y4 0.500 0.146 0.755
Y5 0.500 0.361 0.361
Y6 0.500 0.755 0.146
In1 0.000 0.088 0.422
In2 0.000 0.422 0.088
Ir1 0.500 0.760 0.760

# 18
Entry from Alexandria: an optimized crystal structure of Y3In2Ir (GGA-PBE).

Properties
VASP energy = -6.193 eV per atom
Crystal system = orthorhombic
E_form = -3.429 eV per formula unit

Unit cell a=12.969 b=4.573 c=10.450 alpha=90.00 beta=90.00 gamma=90.00
Positions (direct):
Y1 0.061 0.250 0.097
Y2 0.110 0.750 0.545
Y3 0.229 0.750 0.260
Y4 0.271 0.250 0.760
Y5 0.390 0.250 0.045
Y6 0.439 0.750 0.597
Y7 0.561 0.250 0.403
Y8 0.610 0.750 0.955
Y9 0.729 0.750 0.240
Y10 0.771 0.250 0.740
Y11 0.890 0.250 0.455
Y12 0.939 0.750 0.903
In1 0.024 0.250 0.728
In2 0.193 0.750 0.953
In3 0.307 0.250 0.453
In4 0.476 0.750 0.228
In5 0.524 0.250 0.772
In6 0.693 0.750 0.547
In7 0.807 0.250 0.047
In8 0.976 0.750 0.272
Ir1 0.108 0.250 0.356
Ir2 0.392 0.750 0.856
Ir3 0.608 0.250 0.144
Ir4 0.892 0.750 0.644

# 19
Entry from Alexandria: an optimized crystal structure of YZnIn2Ir (GGA-PBE).

Properties
VASP energy = -4.173 eV per atom
Crystal system = tetragonal
E_form = 1.209 eV per formula unit

Unit cell a=4.934 b=4.934 c=4.796 alpha=90.00 beta=90.00 gamma=90.00
Positions (direct):
Y1 0.000 0.000 0.000
Zn1 0.500 0.500 0.500
In1 0.000 0.500 0.500
In2 0.500 0.000 0.500
Ir1 0.500 0.500 0.000

# 20
Entry from Alexandria: an optimized crystal structure of Yb2In8Ir (GGA-PBE).

Properties
VASP energy = -3.429 eV per atom
Crystal system = tetragonal
E_form = -3.901 eV per formula unit

Unit cell a=4.676 b=4.676 c=12.203 alpha=90.00 beta=90.00 gamma=90.00
Positions (direct):
Yb1 0.000 0.000 0.192
Yb2 0.000 0.000 0.808
In1 0.000 0.500 0.000
In2 0.000 0.500 0.376
In3 0.000 0.500 0.624
In4 0.500 0.000 0.000
In5 0.500 0.000 0.376
In6 0.500 0.000 0.624
In7 0.500 0.500 0.191
In8 0.500 0.500 0.809
Ir1 0.000 0.000 0.500